1.
Density functional theory data (PBE-GGA) for a relaxed structure of CsAc4Sn3O12.

Cell: 7.8305 7.8305 7.8305 Å, 109.47 109.47 109.47°
Last column: nearest neighbours and their distance in Å.
Atoms (fractional coordinates):
Cs1 0.0000 0.0000 0.0000  12 O 3.36
Ac1 0.0000 0.0000 0.5000  6 O 2.53
Ac2 0.0000 0.5000 0.0000  6 O 2.53
Ac3 0.5000 0.0000 0.0000  6 O 2.53
Ac4 0.5000 0.5000 0.5000  6 O 2.53
Sn1 0.0000 0.5000 0.5000  4 O 2.07
Sn2 0.5000 0.0000 0.5000  4 O 2.07
Sn3 0.5000 0.5000 0.0000  4 O 2.07
O1 0.1594 0.3357 0.4952  1 Sn 2.07
O2 0.1594 0.6643 0.8237  1 Sn 2.07
O3 0.1763 0.8406 0.3357  1 Sn 2.07
O4 0.3357 0.1763 0.8406  1 Sn 2.07
O5 0.3357 0.4952 0.1594  1 Sn 2.07
O6 0.4952 0.1594 0.3357  1 Sn 2.07
O7 0.5048 0.8406 0.6643  1 Sn 2.07
O8 0.6643 0.5048 0.8406  1 Sn 2.07
O9 0.6643 0.8237 0.1594  1 Sn 2.07
O10 0.8237 0.1594 0.6643  1 Sn 2.07
O11 0.8406 0.3357 0.1763  1 Sn 2.07
O12 0.8406 0.6643 0.5048  1 Sn 2.07

Summary:
ΔE_f (raw) (eV per atom): -2.2815
Electronic total energy (eV per atom): -6.72
DOS at the Fermi energy (states/eV per cell): 3.4
Total magnetic moment (μB per formula unit): 0.000
Crystal system: cubic

=====

2.
Density functional theory data (PBE-GGA) for a relaxed structure of TiCo3Ni.

Cell: 4.1912 4.1912 4.1912 Å, 90.00 90.00 90.00°
Last column: nearest neighbours and their distance in Å.
Atoms (fractional coordinates):
Ti1 0.0000 0.0000 0.0000  6 Co 2.10
Co1 0.0000 0.0000 0.5000  2 Ti 2.10
Co2 0.0000 0.5000 0.0000  2 Ti 2.10
Co3 0.5000 0.0000 0.0000  2 Ti 2.10
Ni1 0.5000 0.5000 0.5000  12 Co 2.96

Summary:
ΔE_f (meV per atom): 1210
Electronic total energy (eV per atom): -5.79
Energy above the most stable polymorph in this dataset (meV/atom): 321.0
DOS at the Fermi energy (states/eV per cell): 10.0
Total magnetic moment (μB per formula unit): 2.789
Crystal system: cubic

=====

3.
Density functional theory data (PBE-GGA) for a relaxed structure of TcIr3.

Cell: 5.1955 5.1955 5.1955 Å, 149.31 64.17 125.16°
Last column: nearest neighbours and their distance in Å.
Atoms (fractional coordinates):
Tc1 0.0000 0.0000 0.0000  10 Ir 2.71-2.76, 2 Tc 2.75
Ir1 0.4154 0.6667 0.7488  3 Tc 2.71-2.73, 9 Ir 2.71-2.76
Ir2 0.5010 0.0010 0.5000  8 Ir 2.71-2.75, 4 Tc 2.76
Ir3 0.9179 0.6667 0.2512  3 Tc 2.71-2.73, 9 Ir 2.71-2.76

Summary:
ΔE_f (meV per atom): -108
Electronic total energy (eV per atom): -9.35
DOS at the Fermi energy (states/eV per cell): 4.1
Total magnetic moment (μB per formula unit): 0.000
Crystal system: orthorhombic

=====

4.
Density functional theory data (PBE-GGA) for a relaxed structure of Ac2Mg3Hg5.

Cell: 9.6203 9.6203 9.6203 Å, 107.30 87.13 138.83°
Last column: nearest neighbours and their distance in Å.
Atoms (fractional coordinates):
Ac1 0.1338 0.2316 0.3654  10 Hg 3.46-3.79, 4 Mg 3.69-3.78
Ac2 0.3662 0.7316 0.0978  10 Hg 3.46-3.79, 4 Mg 3.69-3.78
Ac3 0.6338 0.2684 0.9022  10 Hg 3.46-3.79, 4 Mg 3.69-3.78
Ac4 0.8662 0.7684 0.6346  10 Hg 3.46-3.79, 4 Mg 3.69-3.78
Mg1 0.1400 0.9000 0.0401  5 Hg 2.72-2.84
Mg2 0.2500 0.7500 0.5000  6 Hg 2.90-3.05
Mg3 0.3600 0.4000 0.7600  5 Hg 2.72-2.84
Mg4 0.6400 0.6000 0.2400  5 Hg 2.72-2.84
Mg5 0.7500 0.2500 0.5000  6 Hg 2.90-3.05
Mg6 0.8600 0.1000 0.9599  5 Hg 2.72-2.84
Hg1 0.0315 0.7500 0.2815  3 Mg 2.84-3.05, 2 Hg 3.03
Hg2 0.0998 0.6665 0.7663  3 Mg 2.72-2.90, 2 Hg 3.03
Hg3 0.2500 0.2500 0.0000  4 Mg 2.82
Hg4 0.4002 0.1665 0.5667  3 Mg 2.72-2.90, 2 Hg 3.03
Hg5 0.4685 0.7500 0.7185  3 Mg 2.84-3.05, 2 Hg 3.03
Hg6 0.5315 0.2500 0.2815  3 Mg 2.84-3.05, 2 Hg 3.03
Hg7 0.5998 0.8335 0.4333  3 Mg 2.72-2.90, 2 Hg 3.03
Hg8 0.7500 0.7500 0.0000  4 Mg 2.82
Hg9 0.9002 0.3335 0.2337  3 Mg 2.72-2.90, 2 Hg 3.03
Hg10 0.9685 0.2500 0.7185  3 Mg 2.84-3.05, 2 Hg 3.03

Summary:
ΔE_f (meV per atom): -352
Electronic total energy (eV per atom): -1.80
DOS at the Fermi energy (states/eV per cell): 14.9
Total magnetic moment (μB per formula unit): 0.000
Crystal system: orthorhombic

=====

5.
Density functional theory data (PBE-GGA) for a relaxed structure of PrNd3SmY.

Cell: 10.7216 10.7216 6.9316 Å, 90.12 90.12 31.81°
Last column: nearest neighbours and their distance in Å.
Atoms (fractional coordinates):
Pr1 0.1449 0.1449 0.0182  1 Y 3.12, 2 Nd 3.24-3.36
Pr2 0.8551 0.8551 0.9818  1 Y 3.12, 2 Nd 3.24-3.36
Nd1 0.0175 0.0175 0.7449  1 Pr 3.24, 1 Y 3.29, 2 Sm 3.32, 2 Nd 3.47-3.61
Nd2 0.2810 0.2810 0.7531  1 Sm 3.34, 3 Pr 3.36-3.67, 3 Y 3.39-3.63, 2 Nd 3.61-3.72
Nd3 0.3389 0.3389 0.2624  2 Y 3.49, 2 Pr 3.54, 4 Nd 3.61-3.84
Nd4 0.6611 0.6611 0.7376  2 Y 3.49, 2 Pr 3.54, 4 Nd 3.61-3.84
Nd5 0.7190 0.7190 0.2469  1 Sm 3.34, 3 Pr 3.36-3.67, 3 Y 3.39-3.63, 2 Nd 3.61-3.72
Nd6 0.9825 0.9825 0.2551  1 Pr 3.24, 1 Y 3.29, 2 Sm 3.32, 2 Nd 3.47-3.61
Sm1 0.4430 0.4430 0.7396  3 Nd 3.32-3.34
Sm2 0.5570 0.5570 0.2604  3 Nd 3.32-3.34
Y1 0.1472 0.1472 0.4682  1 Pr 3.12, 4 Nd 3.29-3.49
Y2 0.8528 0.8528 0.5318  1 Pr 3.12, 4 Nd 3.29-3.49

Summary:
ΔE_f (meV per atom): 172
Electronic total energy (eV per atom): -4.87
DOS at the Fermi energy (states/eV per cell): 17.4
Total magnetic moment (μB per formula unit): 0.000
Crystal system: monoclinic

=====

> The highest DOS at the Fermi energy belongs to which entry?

PrNd3SmY